The following is a DFT calculation (PBE) of a relaxed structure of CaAsRu.

Magnetization ... 0.00 Bohr magnetons per cell
Formation enthalpy at 0 K ... -2.02 eV per formula unit
E ... -35.90 eV per cell
Space group ... P4/nmm

a = 4.2195 Å, b = 4.2195 Å, c = 6.8689 Å
α = 90.00°, β = 90.00°, γ = 90.00°
Positions (direct):
As (0.5000, 0.0000, 0.6966)
As (0.0000, 0.5000, 0.3034)
Ca (0.5000, 0.0000, 0.1756)
Ca (0.0000, 0.5000, 0.8244)
Ru (0.5000, 0.5000, 0.5000)
Ru (0.0000, 0.0000, 0.5000)

The following is a DFT calculation (PBE) of a relaxed structure of CaAs2Ru.

Magnetization ... 0.00 Bohr magnetons per cell
Formation enthalpy at 0 K ... -2.27 eV per formula unit
E ... -22.84 eV per cell
Space group ... R-3m
ΔE to the lowest computed polymorph ... 114.5 meV per atom

a = 4.2019 Å, b = 4.2019 Å, c = 5.6255 Å
α = 68.06°, β = 68.06°, γ = 60.01°
Positions (direct):
As (0.5297, 0.5297, 0.4112)
As (0.9703, 0.9703, 0.0888)
Ru (0.2500, 0.2500, 0.2500)
Ca (0.7500, 0.7500, 0.7500)

The following is a DFT calculation (PBE) of a relaxed structure of Ca4AsRu.

Magnetization ... 0.18 Bohr magnetons per cell
Formation enthalpy at 0 K ... 4.11 eV per formula unit
E ... -17.82 eV per cell
Space group ... F-43m

a = 6.0344 Å, b = 6.0344 Å, c = 6.0344 Å
α = 60.00°, β = 60.00°, γ = 60.00°
Positions (direct):
Ru (0.7500, 0.7500, 0.7500)
Ca (0.3756, 0.8732, 0.3756)
Ca (0.3756, 0.3756, 0.3756)
Ca (0.8732, 0.3756, 0.3756)
Ca (0.3756, 0.3756, 0.8732)
As (0.0000, 0.0000, 0.0000)

The following is a DFT calculation (PBE) of a relaxed structure of CaAsRu.

Magnetization ... 0.00 Bohr magnetons per cell
Formation enthalpy at 0 K ... -2.00 eV per formula unit
E ... -35.85 eV per cell
Space group ... I4/mmm

a = 4.1510 Å, b = 4.1510 Å, c = 7.5294 Å
α = 106.00°, β = 106.00°, γ = 90.00°
Positions (direct):
As (0.8890, 0.8890, 0.7780)
As (0.1110, 0.1110, 0.2220)
Ca (0.6553, 0.6553, 0.3106)
Ca (0.3447, 0.3447, 0.6894)
Ru (0.0000, 0.5000, 0.0000)
Ru (0.5000, 0.0000, 0.0000)